Entry 1:
## TlTc2W (GGA-PBE)

Data for crystalline TlTc2W at its relaxed geometry.

a = 2.951 Å, b = 3.924 Å, c = 5.999 Å
α = 90.00°, β = 90.00°, γ = 90.00°
Space group Pmmm (No. 47)
Symmetry-distinct sites (fractional):
Tl 0.000 0.000 0.000 x1
Tc 0.500 0.500 0.297 x2
W 0.000 0.000 0.500 x1

## Properties
* magnetic moment: 0.000 μB/f.u.
* D(E_F): 3.11 states/eV per cell
* energy above the most stable polymorph in this dataset: 0.130 eV/atom
* density: 13.96 g/cm3
* ΔH_f (0 K): 0.49 eV/atom

Entry 2:
## TlTc2W (GGA-PBE)

Data for crystalline TlTc2W at its relaxed geometry.

a = 3.268 Å, b = 4.448 Å, c = 9.207 Å
α = 90.00°, β = 90.00°, γ = 90.00°
Space group Imm2 (No. 44)
Symmetry-distinct sites (fractional):
Tl 0.000 0.000 0.000 x2
Tc 0.000 0.000 0.513 x2
Tc 0.000 0.500 0.761 x2
W 0.000 0.500 0.238 x2

## Properties
* magnetic moment: 0.000 μB/f.u.
* D(E_F): 5.35 states/eV per cell
* energy above the most stable polymorph in this dataset: 0.213 eV/atom
* density: 14.50 g/cm3
* ΔH_f (0 K): 0.58 eV/atom

Entry 3:
## TlTc2W (GGA-PBE)

Data for crystalline TlTc2W at its relaxed geometry.

a = 2.882 Å, b = 2.882 Å, c = 8.169 Å
α = 90.00°, β = 90.00°, γ = 90.00°
Space group P4mm (No. 99)
Symmetry-distinct sites (fractional):
Tl 0.000 0.000 0.000 x1
Tc 0.000 0.000 0.521 x1
Tc 0.500 0.500 0.727 x1
W 0.500 0.500 0.289 x1

## Properties
* magnetic moment: 0.000 μB/f.u.
* D(E_F): 2.25 states/eV per cell
* energy above the most stable polymorph in this dataset: 0.114 eV/atom
* density: 14.30 g/cm3
* ΔH_f (0 K): 0.48 eV/atom

Entry 4:
## TlTc2W (GGA-PBE)

Data for crystalline TlTc2W at its relaxed geometry.

a = 2.918 Å, b = 4.071 Å, c = 5.750 Å
α = 90.00°, β = 90.00°, γ = 90.00°
Space group Pmm2 (No. 25)
Symmetry-distinct sites (fractional):
Tl 0.000 0.000 0.000 x1
Tc 0.000 0.000 0.505 x1
Tc 0.500 0.500 0.719 x1
W 0.500 0.500 0.300 x1

## Properties
* magnetic moment: 0.000 μB/f.u.
* D(E_F): 3.75 states/eV per cell
* energy above the most stable polymorph in this dataset: 0.153 eV/atom
* density: 14.21 g/cm3
* ΔH_f (0 K): 0.52 eV/atom

Entry 5:
## YTl2Tc2 (GGA-PBE)

Data for crystalline YTl2Tc2 at its relaxed geometry.

a = 3.598 Å, b = 3.598 Å, c = 17.517 Å
α = 90.00°, β = 90.00°, γ = 90.00°
Space group I4/mmm (No. 139)
Symmetry-distinct sites (fractional):
Y 0.000 0.000 0.000 x2
Tl 0.000 0.000 0.383 x4
Tc 0.000 0.500 0.250 x4

## Properties
* magnetic moment: 0.000 μB/f.u.
* D(E_F): 8.11 states/eV per cell
* energy above the most stable polymorph in this dataset: 0.000 eV/atom
* density: 10.16 g/cm3
* ΔH_f (0 K): 0.34 eV/atom

Entry 6:
## YTlTc2 (GGA-PBE)

Data for crystalline YTlTc2 at its relaxed geometry.

a = 5.999 Å, b = 9.479 Å, c = 2.993 Å
α = 90.00°, β = 115.22°, γ = 90.00°
Space group C2/m (No. 12)
Symmetry-distinct sites (fractional):
Y 0.000 0.000 0.000 x2
Tl 0.000 0.500 0.000 x2
Tc 0.250 0.250 0.500 x4

## Properties
* magnetic moment: 0.001 μB/f.u.
* D(E_F): 10.54 states/eV per cell
* energy above the most stable polymorph in this dataset: 0.475 eV/atom
* density: 10.56 g/cm3
* ΔH_f (0 K): 0.52 eV/atom

Q: Among the records above, which one has the lowest energy above the most stable polymorph in this dataset?
A: YTl2Tc2

Q: energy above the most stable polymorph in this dataset of number 6 (YTlTc2)?
A: 0.475 eV/atom

Q: Among the records above, which one has the lowest ΔH_f (0 K)?
A: YTl2Tc2